Record 1
Here is a relaxed Rb2CoReF6 crystal from the Alexandria database. Energies are from PBE+U.

```
Rb2CoReF6
1.0
6.0569 0.0000 0.0000
0.0000 6.0569 0.0000
3.0284 3.0284 4.3200
F Rb Re Co
6 2 1 1
Direct
0.2417 0.2417 0.0000 F
0.7552 0.7552 0.4896 F
0.7583 0.7583 0.0000 F
0.7583 0.2417 0.0000 F
0.2417 0.7583 0.0000 F
0.2448 0.2448 0.5104 F
0.2500 0.7500 0.5000 Rb
0.7500 0.2500 0.5000 Rb
0.0000 0.0000 0.0000 Re
0.5000 0.5000 0.0000 Co
```

Summary:
The value obtained for the total DFT energy (no corrections) is -4.99 eV/atom.

***

Record 2
Here is a relaxed Rb2CoRh3F12 crystal from the Alexandria database. Energies are from PBE+U.

```
Rb2CoRh3F12
1.0
-4.5762 4.1436 4.1568
-7.2838 0.0622 -1.5270
-4.7455 -3.3406 4.6594
F Rb Rh Co
12 2 3 1
Direct
0.9234 0.3307 0.3307 F
0.0762 0.0762 0.6742 F
0.6742 0.0762 0.0762 F
0.6693 0.6693 0.0766 F
0.3307 0.3307 0.9234 F
0.6693 0.0766 0.6693 F
0.0762 0.6742 0.0762 F
0.0766 0.6693 0.6693 F
0.9238 0.3258 0.9238 F
0.3307 0.9234 0.3307 F
0.3258 0.9238 0.9238 F
0.9238 0.9238 0.3258 F
0.3674 0.3674 0.3674 Rb
0.6325 0.6325 0.6325 Rb
0.0000 0.5000 0.0000 Rh
0.5000 0.0000 0.0000 Rh
0.0000 0.0000 0.5000 Rh
0.0000 0.0000 0.0000 Co
```

Summary:
The value obtained for the total DFT energy (no corrections) is -4.72 eV/atom.

***

Record 3
Here is a relaxed RbCoRhF6 crystal from the Alexandria database. Energies are from PBE+U.

```
RbCoRhF6
1.0
7.4337 0.0000 0.0000
0.0000 7.3611 0.0000
-3.7168 -3.6806 5.2797
F Co Rh Rb
12 2 2 2
Direct
0.4212 0.0783 0.2463 F
0.4215 0.6715 0.8430 F
0.8251 0.0783 0.2463 F
0.5788 0.3320 0.7537 F
0.1749 0.3320 0.7537 F
0.8192 0.0692 0.6385 F
0.5788 0.9217 0.7537 F
0.4212 0.6680 0.2463 F
0.8251 0.6680 0.2463 F
0.1749 0.9217 0.7537 F
0.1808 0.9308 0.3615 F
0.5785 0.3285 0.1570 F
0.0000 0.0000 0.5000 Co
0.5000 0.0000 0.5000 Co
0.5000 0.5000 0.0000 Rh
0.5000 0.0000 0.0000 Rh
0.8901 0.6401 0.7803 Rb
0.1099 0.3599 0.2197 Rb
```

Summary:
The value obtained for the total DFT energy (no corrections) is -4.80 eV/atom.

***

> Among the records above, which one has the lowest total DFT energy (no corrections)?

Rb2CoReF6